A plane-wave DFT calculation with PBEsol was carried out for crystalline Ca2InSe at its relaxed geometry.

Total magnetization in μB per atom: 0.0101
Raw formation energy in eV/f.u.: -3.6
Total DFT energy (no corrections) in eV for the cell shown: -14.663
Excess energy over the best structure of this formula in the dataset in meV per atom: 206.3

a b c (Å): 3.888 3.888 8.531
angles (deg): 90.00 90.00 90.00
Element x y z (fractional)
Ca 0.000 0.000 0.846
Ca 0.500 0.500 0.261
Se 0.500 0.500 0.931
In 0.000 0.000 0.462